No. 1
PrYMgPd | the Alexandria database | GGA-PBE | optimized geometry; DFT total energy = -19.4 eV per cell; space-group type = F-43m, No. 216; size of the total moment = 0.00 Bohr magnetons per cell
1.0
-2.9611 -1.0529 4.2002
0.4231 -4.6396 2.4111
2.2001 -0.2949 4.7530
Pd Mg Y Pr
1 1 1 1
Cartesian
-0.1690 -2.9937 5.6821
0.0000 0.0000 0.0000
-0.2534 -4.4905 8.5232
-0.0845 -1.4968 2.8411

=====

No. 2
Sr2Cd2Au15 | the Alexandria database | GGA-PBE | optimized geometry; DFT total energy = -60.3 eV per cell; space-group type = R-3m, No. 166; size of the total moment = 0.00 Bohr magnetons per cell
1.0
-7.1234 -2.0085 0.3062
0.7057 -6.6171 -3.2538
0.3974 -4.0873 6.1650
Au Cd Sr
15 2 2
Cartesian
-1.7589 -7.7032 -0.4753
0.4919 -4.8625 3.2786
-5.6110 -5.4357 1.2763
-1.9074 -3.4502 4.3695
-4.7241 -3.4208 -0.7848
-0.4093 -7.2771 1.9412
0.6112 -5.8418 -0.3673
0.1987 -2.0436 3.0825
-1.9107 -6.4585 4.1589
0.3529 -3.3085 -1.6269
-4.8186 -2.6455 2.1017
-4.1097 -6.2543 -0.9414
-3.5617 -1.0042 0.1531
-4.2614 -5.0096 3.6927
-1.6936 -5.2047 -2.1628
-5.4142 -11.4329 2.8935
-0.6061 -1.2799 0.3239
-2.0894 -4.4120 1.1166
-3.9310 -8.3008 2.1008

=====

No. 3
LiHo2P3Rh12 | the Alexandria database | GGA-PBE | optimized geometry; DFT total energy = -121.9 eV per cell; space-group type = R-3m, No. 166; size of the total moment = 0.00 Bohr magnetons per cell
1.0
-1.8167 -4.4565 4.5626
5.9827 -2.6961 0.9574
1.6682 3.5541 5.3445
Rh P Li Ho
12 3 1 2
Cartesian
1.8292 -1.6255 8.5001
0.4619 -0.8194 6.3362
3.9873 -4.7518 6.3057
0.1038 -2.8536 4.1676
4.0050 -1.9731 2.3643
1.8469 1.1532 4.5587
3.0523 0.5818 6.8873
1.1783 -3.7258 6.4669
2.7820 -4.1804 3.9771
4.6559 0.1272 4.3976
5.7304 -0.7449 6.6969
5.3723 -2.7791 4.5283
-0.9083 -2.2283 2.2813
0.8341 1.7770 2.6722
2.9913 -1.3480 0.4787
0.0000 0.0000 0.0000
2.1749 -1.3415 4.0502
3.6593 -2.2570 6.8143

=====

No. 4
CaAc2Sb3Pd4 | the Alexandria database | GGA-PBE | optimized geometry; formation energy (no corrections) = -0.920 eV per atom; DFT total energy = -52.6 eV per cell; space-group type = P-4m2, No. 115; size of the total moment = 0.00 Bohr magnetons per cell
1.0
-1.7471 -0.7892 4.2219
-4.1098 -1.0170 -1.8908
3.0921 -11.0385 -0.7839
Pd Ac Ca Sb
4 2 1 3
Cartesian
-0.9549 -4.4354 -1.2243
-2.9285 -0.9031 1.1656
0.0000 0.0000 0.0000
1.1186 -7.5062 1.6060
-0.1904 -2.8335 1.9378
0.3540 -9.1081 -1.5561
-1.3824 -6.4223 0.7736
-1.6631 -1.9071 -1.0447
1.8268 -10.0345 1.4264
1.5461 -5.5192 -0.3919

=====

No. 5
K2Ag2Pb | the Alexandria database | GGA-PBE | optimized geometry; energy above the most stable polymorph in this dataset = 101.2 meV per atom; DFT total energy = -11.3 eV per cell; space-group type = I4/mmm, No. 139; size of the total moment = 0.00 Bohr magnetons per cell
1.0
-2.4728 1.3318 2.6474
-2.4118 -2.9080 -0.7898
2.5576 -7.0600 8.7540
Ag Pb K
2 1 2
Cartesian
-1.1483 -5.3781 4.4465
-1.1787 -3.2581 6.1651
0.0000 0.0000 0.0000
-1.2678 -2.2614 2.7670
-1.0592 -6.3748 7.8446

=====

No. 6
La8IrPd3I4 | the Alexandria database | GGA-PBE | optimized geometry; formation energy (no corrections) = -1.003 eV per atom; DFT total energy = -86.1 eV per cell; space-group type = R-3m, No. 166; size of the total moment = 0.00 Bohr magnetons per cell
1.0
8.6271 0.0000 0.0000
0.0000 9.6248 0.6905
-4.3136 -4.3105 6.1043
La Pd I Ir
8 3 4 1
Cartesian
2.2194 2.4760 6.3643
2.0942 2.8382 0.4304
4.3135 0.6190 3.5723
4.3135 4.6514 3.2837
0.0000 4.6952 3.2225
6.5329 2.8382 0.4304
-2.2194 2.4760 6.3643
0.0000 0.6628 3.5111
4.3136 4.8124 0.3452
-2.1568 2.6571 3.3974
2.1568 2.6571 3.3974
0.0000 0.0000 0.0000
-2.1568 -2.1553 3.0521
4.3136 0.0000 0.0000
2.1568 -2.1553 3.0521
0.0000 4.8124 0.3452

=====

No. 7
Ac3Ge4Rh2 | the Alexandria database | GGA-PBE | optimized geometry; energy above the most stable polymorph in this dataset = 0.0 meV per atom; DFT total energy = -52.8 eV per cell; space-group type = C2/m, No. 12; size of the total moment = 0.00 Bohr magnetons per cell
1.0
4.3208 0.0000 0.0000
-2.1604 5.8947 -0.9487
0.0000 -0.1591 8.7989
Ac Ge Rh
3 4 2
Cartesian
2.1604 1.8843 5.4707
0.0000 0.0000 0.0000
0.0000 3.8513 2.3794
2.1604 2.6899 0.2190
0.0000 0.5375 3.2569
2.1604 5.1981 4.5932
0.0000 3.0457 7.6312
0.0000 4.5570 5.6407
2.1604 1.1786 2.2094

=====

No. 8
KPbSeN2 | the Alexandria database | GGA-PBE | optimized geometry; formation energy (no corrections) = 1.057 eV per atom; energy above the most stable polymorph in this dataset = 0.0 meV per atom; DFT total energy = -19.7 eV per cell; space-group type = P4/mmm, No. 123; size of the total moment = 3.31 Bohr magnetons per cell
1.0
-2.0040 3.6243 -1.8772
-1.9772 0.9676 3.9787
4.3625 3.1395 1.4044
Pb Se N K
1 1 2 1
Cartesian
0.0000 0.0000 0.0000
2.1812 1.5698 0.7022
-1.0020 1.8122 -0.9386
-0.9886 0.4838 1.9894
0.1906 3.8657 1.7530